No. 1
DFT (PBE) results for an optimized crystal structure of ZnTeSe.

abc: 3.057 3.723 8.124
angles: 89.49 83.28 71.32
Element x y z (fractional)
Zn: 0.000 0.000 0.000
Te: 0.078 0.984 0.677
Se: 0.259 0.439 0.169

Output
The energy relative to the lowest polymorph listed for this composition is 0.456 eV/f.u. Its symmetry is P1.


No. 2
DFT (PBE) results for an optimized crystal structure of Pr2URu4.

abc: 8.024 8.024 8.024
angles: 147.88 147.88 46.06
Element x y z (fractional)
Pr: 0.230 0.230 0.000
Pr: 0.770 0.770 0.000
U: 0.500 0.500 0.000
Ru: 0.095 0.595 0.500
Ru: 0.405 0.905 0.500
Ru: 0.595 0.095 0.500
Ru: 0.905 0.405 0.500

Output
The calculation puts the formation energy at 0.91 eV/f.u. Its symmetry is I4/mmm.


No. 3
DFT (PBE) results for an optimized crystal structure of BaPm2Tl.

abc: 12.474 12.474 12.474
angles: 17.49 17.49 17.49
Element x y z (fractional)
Ba: 0.000 0.000 0.000
Pm: 0.101 0.101 0.101
Pm: 0.899 0.899 0.899
Tl: 0.500 0.500 0.500

Output
The calculation puts the formation energy at 0.37 eV/f.u. The energy relative to the lowest polymorph listed for this composition is 0.601 eV/f.u. Its symmetry is R-3m.


No. 4
DFT (PBE) results for an optimized crystal structure of Al2PbAu.

abc: 4.528 3.569 5.633
angles: 90.00 111.47 90.00
Element x y z (fractional)
Al: 0.000 0.000 0.000
Al: 0.500 0.500 0.500
Pb: 0.000 0.000 0.500
Au: 0.500 0.500 0.000

Output
The calculation puts the formation energy at 0.52 eV/f.u. Its symmetry is P2/m.


No. 5
DFT (PBE) results for an optimized crystal structure of PmErZnCd.

abc: 3.611 3.611 7.664
angles: 90.00 90.00 90.00
Element x y z (fractional)
Pm: 0.000 0.000 0.000
Er: 0.000 0.000 0.460
Zn: 0.500 0.500 0.247
Cd: 0.500 0.500 0.715

Output
The calculation puts the formation energy at -1.31 eV/f.u. The energy relative to the lowest polymorph listed for this composition is 0.000 eV/f.u. Its symmetry is P4mm.


No. 6
DFT (PBE) results for an optimized crystal structure of ZrTePt2.

abc: 3.695 3.695 5.723
angles: 90.00 90.00 90.00
Element x y z (fractional)
Zr: 0.000 0.000 0.000
Te: 0.000 0.000 0.500
Pt: 0.500 0.500 0.235
Pt: 0.500 0.500 0.765

Output
Its symmetry is P4/mmm.


Number 1: electronic total energy -2.82 eV per atom. Number 2: electronic total energy -8.15 eV per atom. Number 3: electronic total energy -3.36 eV per atom. Number 4: electronic total energy -3.49 eV per atom. Number 5: electronic total energy -3.20 eV per atom. Number 6: electronic total energy -6.63 eV per atom.